Pm5Ga2Sn | OQMD via LeMat-Bulk | GGA-PBE | relaxed; space-group type = No. 140; magnetization = 0.0102 μB per atom
1.0
-4.021 4.021 7.112
4.021 -4.021 7.112
4.021 4.021 -7.112
Pm Ga Sn
10 4 2
Direct
0.000 0.000 0.000
0.023 0.523 0.836
0.187 0.023 0.500
0.313 0.813 0.836
0.477 0.313 0.500
0.500 0.500 0.000
0.523 0.687 0.500
0.687 0.187 0.164
0.813 0.977 0.500
0.977 0.477 0.164
0.123 0.377 0.500
0.377 0.877 0.253
0.623 0.123 0.747
0.877 0.623 0.500
0.250 0.250 0.000
0.750 0.750 0.000


Sn2SbPd6 | OQMD via LeMat-Bulk | GGA-PBE | relaxed; space-group type = No. 189
1.0
7.413 0.000 0.000
-3.707 6.420 0.000
0.000 0.000 3.300
Sn Sb Pd
2 1 6
Direct
0.333 0.667 0.000
0.667 0.333 0.000
0.000 0.000 0.500
0.000 0.375 0.500
0.000 0.712 0.000
0.288 0.288 0.000
0.375 0.000 0.500
0.625 0.625 0.500
0.712 0.000 0.000


Hf2NbIn2 | OQMD via LeMat-Bulk | GGA-PBE | relaxed; space-group type = No. 139; magnetization = 0.0019 μB per atom
1.0
4.067 0.000 0.000
0.000 4.067 0.000
0.000 0.000 13.398
Hf Nb In
4 2 4
Direct
0.000 0.000 0.095
0.000 0.000 0.905
0.500 0.500 0.405
0.500 0.500 0.595
0.000 0.000 0.500
0.500 0.500 0.000
0.000 0.500 0.250
0.000 0.500 0.750
0.500 0.000 0.250
0.500 0.000 0.750


Number 1: E -4.77 eV per atom. Number 2: E -5.32 eV per atom. Number 3: E -6.43 eV per atom.